Material: K5Na12Cd2
Method: DFT, PBE
State: optimized geometry

Lattice parameters (Å, degrees): 8.708 11.084 10.149 56.90 89.55 90.00
Atoms (fractional coordinates):
1 K 0.538 0.737 0.526
2 K 0.023 0.683 0.635
3 K 0.500 0.000 0.000
4 K 0.977 0.317 0.365
5 K 0.462 0.263 0.474
6 Na 0.068 0.089 0.822
7 Na 0.760 0.345 0.727
8 Na 0.760 0.928 0.727
9 Na 0.310 0.371 0.772
10 Na 0.310 0.857 0.772
11 Na 0.717 0.517 0.966
12 Na 0.283 0.483 0.034
13 Na 0.690 0.629 0.228
14 Na 0.690 0.143 0.228
15 Na 0.240 0.655 0.273
16 Na 0.240 0.072 0.273
17 Na 0.932 0.911 0.178
18 Cd 0.000 0.720 0.000
19 Cd 0.000 0.280 0.000

## Properties
* total DFT energy (no corrections): -22.74 eV for the cell shown
* magnetization: 0.00 μB per formula unit